Record 1
TlSnPb2S5 PBE relaxed; space group = Cmc2_1 (36)
1.0
-2.6183 -2.6827 1.3110
5.3551 -5.3108 -6.1874
7.9464 -3.0960 9.5347
Tl Sn Pb S
2 2 4 10
direct
0.7986 0.5973 0.5300
0.2014 0.4027 0.0300
0.5388 0.0776 0.9207
0.4612 0.9224 0.4207
0.8600 0.7201 0.8314
0.1415 0.2831 0.6716
0.1400 0.2799 0.3314
0.8585 0.7169 0.1716
0.3468 0.6935 0.0116
0.6596 0.3193 0.8618
0.4666 0.9332 0.7693
0.2870 0.5741 0.6914
0.9770 0.9540 0.5361
0.6532 0.3065 0.5116
0.3404 0.6807 0.3618
0.5334 0.0668 0.2693
0.7130 0.4259 0.1914
0.0230 0.0460 0.0361



Record 2
TlSn4PbS8 PBE relaxed; space group = R3m (160)
1.0
7.6466 0.0000 0.0000
3.8233 6.6222 0.0000
3.8233 2.2074 7.9030
Tl Sn Pb S
1 4 1 8
direct
0.3604 0.3604 0.9187
0.6118 0.6118 0.1645
0.9995 0.5004 0.5005
0.5004 0.9995 0.5005
0.9995 0.9995 0.5005
0.0261 0.0261 0.9218
0.2618 0.7852 0.6912
0.7852 0.2618 0.6912
0.2618 0.2618 0.6912
0.2271 0.2271 0.3186
0.7420 0.2112 0.3047
0.2112 0.7420 0.3047
0.7420 0.7420 0.3047
0.7710 0.7710 0.6870



Record 3
Tm3SnPbS PBE relaxed; space group = P2_1/m (11)
1.0
5.0595 0.0000 0.0000
0.0000 6.7192 0.1303
0.0000 -2.7518 9.1721
Tm Sn Pb S
6 2 2 2
direct
0.2500 0.7758 0.4702
0.7500 0.9145 0.1134
0.7500 0.4579 0.2106
0.7500 0.2242 0.5298
0.2500 0.5421 0.7894
0.2500 0.0855 0.8866
0.2500 0.6636 0.1173
0.7500 0.3364 0.8827
0.7500 0.7767 0.7292
0.2500 0.2233 0.2708
0.2500 0.1660 0.6121
0.7500 0.8340 0.3879



Record 4
TmSnPb2S5 PBE relaxed; space group = Cmc2_1 (36)
1.0
-0.9050 1.4187 3.6958
-7.1152 -4.8584 -2.1084
5.6417 -10.6331 5.4632
Tm Sn Pb S
2 2 4 10
direct
0.7824 0.5649 0.5211
0.2176 0.4351 0.0211
0.5409 0.0817 0.9483
0.4592 0.9183 0.4483
0.8658 0.7317 0.7884
0.1126 0.2252 0.6630
0.1342 0.2683 0.2884
0.8874 0.7748 0.1630
0.3712 0.7425 0.0135
0.6866 0.3731 0.8897
0.4854 0.9708 0.7693
0.2772 0.5544 0.6610
0.9404 0.8808 0.5698
0.6288 0.2575 0.5135
0.3134 0.6269 0.3897
0.5146 0.0292 0.2693
0.7228 0.4456 0.1610
0.0596 0.1192 0.0698



Record 5
USnPb2S6 PBE relaxed; space group = R3 (146)
1.0
-1.2054 -7.0569 0.4727
4.7998 -4.2520 3.2183
-1.6720 -2.9174 6.6376
U Sn Pb S
1 1 2 6
direct
0.3231 0.3231 0.0307
0.8155 0.8155 0.5535
0.5270 0.5270 0.4190
0.0190 0.0191 0.9429
0.5738 0.1938 0.2530
0.1938 0.9794 0.2530
0.9794 0.5738 0.2530
0.4416 0.6773 0.7700
0.6773 0.1110 0.7701
0.1111 0.4416 0.7701



Record 6
ZnSnPb2S5 PBE relaxed; space group = Cmc2_1 (36)
1.0
-1.2057 -2.7747 -2.3910
8.7298 -1.4259 0.3620
-1.7150 -7.9407 10.0795
Zn Sn Pb S
2 2 4 10
direct
0.5626 0.1252 0.9348
0.4374 0.8748 0.4348
0.7804 0.5608 0.5331
0.2196 0.4392 0.0331
0.8706 0.7412 0.8183
0.0816 0.1632 0.6564
0.1294 0.2588 0.3183
0.9184 0.8368 0.1564
0.3651 0.7302 0.9932
0.7002 0.4004 0.8981
0.4964 0.9928 0.7814
0.2683 0.5365 0.6690
0.9372 0.8744 0.5395
0.6349 0.2698 0.4932
0.2998 0.5996 0.3981
0.5036 0.0072 0.2814
0.7317 0.4635 0.1690
0.0628 0.1256 0.0395



Record 7
Sr2PbS PBE relaxed; space group = Fm-3m (225); E above lowest polymorph = 51.26 kJ per mole of atoms
1.0
0.0000 3.9640 3.9640
3.9640 0.0000 3.9640
3.9640 3.9640 0.0000
Pb Sr S
1 2 1
direct
0.5000 0.5000 0.5000
0.2500 0.2500 0.2500
0.7500 0.7500 0.7500
0.0000 0.0000 0.0000



Record 8
Sr3PbS4 PBE relaxed; space group = Pmmm (47); E above lowest polymorph = 0.00 kJ per mole of atoms
1.0
4.2807 0.0000 0.0000
0.0000 6.0383 0.0000
0.0000 0.0000 8.5683
Sr Pb S
3 1 4
direct
0.5000 0.5000 0.2486
0.0000 0.0000 0.5000
0.5000 0.5000 0.7514
0.0000 0.0000 0.0000
0.0000 0.5000 0.5000
0.5000 0.0000 0.7480
0.0000 0.5000 0.0000
0.5000 0.0000 0.2520



Record 9
SrPb4S5 PBE relaxed; space group = Immm (71)
1.0
0.0219 1.3543 -4.0314
5.9932 0.3661 0.1555
-2.3046 -10.9314 -1.4416
Sr Pb S
1 4 5
direct
0.0000 0.0000 0.0000
0.3998 0.3998 0.7997
0.7996 0.7996 0.5993
0.2004 0.2004 0.4007
0.6002 0.6002 0.2003
0.5996 0.0996 0.1992
0.8002 0.3002 0.6004
0.1998 0.6998 0.3996
0.0000 0.5000 0.0000
0.4004 0.9004 0.8008



Record 10
Sr4PbS5 PBE relaxed; space group = I4/mmm (139)
1.0
4.2357 0.0000 -0.5969
-0.0841 4.2349 -0.5969
0.0160 0.0163 15.4399
Sr Pb S
4 1 5
direct
0.4009 0.4009 0.8018
0.7999 0.7999 0.5997
0.2001 0.2001 0.4003
0.5991 0.5991 0.1982
0.0000 0.0000 0.0000
0.1001 0.1001 0.2002
0.5000 0.5000 0.0000
0.8999 0.8999 0.7998
0.3002 0.3002 0.6003
0.6998 0.6998 0.3997



Record 11
SrPbS3 PBE relaxed; space group = Pm-3m (221); E above lowest polymorph = 47.83 kJ per mole of atoms
1.0
5.4559 0.0000 0.0000
0.0000 5.4559 0.0000
0.0000 0.0000 5.4559
Pb Sr S
1 1 3
direct
0.5000 0.5000 0.5000
0.0000 0.0000 0.0000
0.0000 0.5000 0.0000
0.0000 0.0000 0.5000
0.5000 0.0000 0.0000



Record 12
Sr3Pb5S12 PBE relaxed; space group = Ia-3d (230)
1.0
-3.6311 8.2400 -11.2406
-4.9907 -13.3572 -2.0281
-5.7220 5.4890 12.0235
Sr Pb S
12 20 48
direct
0.7500 0.3750 0.1250
0.8750 0.7500 0.1250
0.3750 0.7500 0.6250
0.2500 0.1250 0.3750
0.8750 0.1250 0.2500
0.3750 0.6250 0.2500
0.6250 0.3750 0.7500
0.1250 0.8750 0.7500
0.7500 0.8750 0.6250
0.6250 0.2500 0.3750
0.1250 0.2500 0.8750
0.2500 0.6250 0.8750
0.1250 0.3750 0.2500
0.0000 0.5000 0.0000
0.0000 0.0000 0.0000
0.3750 0.2500 0.1250
0.5000 0.0000 0.5000
0.5000 0.5000 0.0000
0.1250 0.7500 0.3750
0.7500 0.1250 0.8750
0.7500 0.6250 0.3750
0.3750 0.1250 0.7500
0.6250 0.8750 0.2500
0.5000 0.5000 0.5000
0.5000 0.0000 0.0000
0.0000 0.0000 0.5000
0.2500 0.3750 0.6250
0.2500 0.8750 0.1250
0.0000 0.5000 0.5000
0.8750 0.2500 0.6250
0.6250 0.7500 0.8750
0.8750 0.6250 0.7500
0.7185 0.1308 0.0402
0.3217 0.5402 0.4094
0.9598 0.3692 0.2815
0.5402 0.2185 0.1308
0.5877 0.7185 0.6783
0.9598 0.5906 0.1783
0.3217 0.7815 0.4123
0.0906 0.9123 0.1308
0.5906 0.9598 0.6783
0.7185 0.5877 0.1783
0.7815 0.4598 0.3692
0.8217 0.9094 0.0402
0.1308 0.7185 0.5402
0.3692 0.4094 0.0877
0.0877 0.9094 0.3692
0.4123 0.1308 0.5906
0.0877 0.1783 0.2185
0.4598 0.6783 0.0906
0.8217 0.9123 0.2815
0.1308 0.4123 0.0906
0.3692 0.9598 0.7815
0.5906 0.6308 0.4123
0.9094 0.8217 0.5402
0.7815 0.3217 0.9123
0.4094 0.3692 0.5877
0.0906 0.1783 0.4598
0.2185 0.6783 0.0877
0.1783 0.0877 0.7185
0.6308 0.0402 0.2185
0.8692 0.5877 0.9094
0.5402 0.3217 0.9094
0.5877 0.8692 0.4094
0.9123 0.8217 0.7815
0.9123 0.0906 0.6308
0.8692 0.2815 0.4598
0.1783 0.0906 0.9598
0.6308 0.5906 0.9123
0.4094 0.0402 0.3217
0.2815 0.4123 0.8217
0.2185 0.5402 0.6308
0.9094 0.0877 0.8692
0.6783 0.2185 0.5877
0.4598 0.7815 0.8692
0.0402 0.4094 0.8217
0.4123 0.2815 0.3217
0.0402 0.6308 0.7185
0.6783 0.4598 0.5906
0.2815 0.8692 0.9598



Record 13
SrPb4S5 PBE relaxed; space group = I4/m (87)
1.0
6.0106 0.0000 0.0000
3.0053 6.7269 0.0000
3.0053 0.0000 6.7269
Sr Pb S
1 4 5
direct
0.0008 0.0000 0.0000
0.4008 0.4004 0.8000
0.8012 0.8000 0.5996
0.2008 0.2000 0.4004
0.6012 0.5996 0.2000
0.9012 0.3994 0.8005
0.3006 0.8005 0.6006
0.7017 0.1995 0.3994
0.1011 0.6006 0.1995
0.5008 0.0000 0.0000



Record 14
Sr3PbS4 PBE relaxed; space group = Pmn2_1 (31); E above lowest polymorph = 10.03 kJ per mole of atoms
1.0
-4.6085 -2.2227 -3.1186
4.4152 -7.5280 -1.1592
-4.0327 -3.6875 8.5876
Sr Pb S
6 2 8
direct
0.5644 0.8388 0.0000
0.0644 0.6682 0.2507
0.5644 0.3318 0.2493
0.0644 0.1612 0.5000
0.5644 0.3318 0.7507
0.0644 0.6682 0.7493
0.0641 0.1691 0.0000
0.5641 0.8309 0.5000
0.0644 0.8359 0.0000
0.5650 0.1694 0.0000
0.0643 0.3334 0.2519
0.5643 0.6666 0.2481
0.0650 0.8306 0.5000
0.5644 0.1641 0.5000
0.5643 0.6666 0.7519
0.0643 0.3334 0.7481



Record 15
Sr2Pb2S PBE relaxed; space group = P4/mbm (127)
1.0
-1.9897 -4.5309 6.2541
7.3611 -3.0661 0.1206
1.6167 4.0162 3.4239
Pb Sr S
4 4 2
direct
0.1323 0.6323 0.5000
0.6323 0.8677 0.5000
0.8677 0.3677 0.5000
0.3677 0.1323 0.5000
0.3200 0.8200 0.0000
0.8200 0.6800 0.0000
0.6800 0.1800 0.0000
0.1800 0.3200 0.0000
0.0000 0.0000 0.0000
0.5000 0.5000 0.0000



Record 16
Sr2PbS PBE relaxed; space group = I-42d (122); E above lowest polymorph = 30.36 kJ per mole of atoms
1.0
8.2840 0.0000 0.0000
0.0000 8.2840 0.0000
4.1420 4.1420 4.3506
Pb Sr S
2 4 2
direct
0.0000 0.0000 0.0000
0.7500 0.2500 0.5000
0.5702 0.1250 0.2500
0.1798 0.6250 0.2500
0.3750 0.4298 0.7500
0.8750 0.8202 0.7500
0.5000 0.5000 0.0000
0.2500 0.7500 0.5000



Record 17
Sr2PbS2 PBE relaxed; space group = P4/mbm (127)
1.0
-3.9279 -6.8422 -2.7240
1.9798 -3.9547 7.0786
-3.3155 1.2550 1.6285
Pb Sr S
2 4 4
direct
0.0000 0.0000 0.0000
0.5000 0.5000 0.0000
0.1553 0.6553 0.5000
0.6553 0.8447 0.5000
0.8447 0.3447 0.5000
0.3447 0.1553 0.5000
0.3485 0.8485 0.0000
0.8485 0.6515 0.0000
0.6515 0.1515 0.0000
0.1515 0.3485 0.0000



Record 18
Sr2PbS3 PBE relaxed; space group = Immm (71)
1.0
-0.9155 0.0995 -4.1755
0.6880 -5.9836 -0.2935
-6.1195 2.1592 3.5826
Sr Pb S
2 1 3
direct
0.8345 0.8345 0.1690
0.1655 0.1655 0.8310
0.5000 0.5000 0.5000
0.8316 0.3316 0.1633
0.1684 0.6684 0.8367
0.5000 0.0000 0.5000



Total DFT energy (no corrections)? In order: -37.5; -60.0; -30.4; -44.1; -54.8; -37.8; -14.1; -39.3; -45.8; -49.4; -18.0; -87.1; -45.8; -38.4; -18.3; -15.0; -22.0; -29.2 eV per formula unit.